Here is a relaxed NdBeO3 crystal from OQMD. Energies are from GGA-PBE.

Calculated values
Its calculated total energy is -7.1263 eV/atom. The size of the total moment is 1.999 Bohr magnetons per cell.

Geometry as CIF:
```
data_NdBeO3
_cell_length_a 5.1096
_cell_length_b 5.1508
_cell_length_c 3.6218
_cell_angle_alpha 90.00
_cell_angle_beta 90.00
_cell_angle_gamma 90.00
_space_group_name_H-M_alt 'C m m m'
_space_group_IT_number 65
_space_group_name_Hall '-C 2 2'
loop_
_atom_site_label
_atom_site_type_symbol
_atom_site_fract_x
_atom_site_fract_y
_atom_site_fract_z
_atom_site_occupancy
Nd1 Nd 0.0000 0.0000 0.0000 1
Be1 Be 0.0000 0.5000 0.5000 1
O1 O 0.0000 0.5000 0.0000 1
O2 O 0.2500 0.2500 0.5000 1
```